# RuSe2N2

RuSe2N2 after structural relaxation (PBE, Alexandria).

a b c (Å): 5.0663 5.0663 3.6316
angles (deg): 90.00 90.00 90.00
Closest atoms and distances in Å follow each position.
Fractional coordinates of all 5 atoms:
Ru 0.0000 0.0000 0.0000  2 N 1.82
Se 0.0000 0.5000 0.0000  2 Ru 2.53
Se 0.5000 0.0000 0.0000  2 Ru 2.53
N 0.5000 0.5000 0.5000  8 Se 3.12
N 0.0000 0.0000 0.5000  2 Ru 1.82

* offset from the most stable computed form: 674.3 meV/atom
* N(E_F): 3.91 states/eV per cell
* ΔE_f (raw): 1.49 eV/atom
* ρ: 5.1 g/cm³